# PmPrF

An optimized crystal structure of PmPrF (GGA-PBE, Alexandria).

Calculated values
Raw formation energy, eV per atom: -1.5494
Crystal system: trigonal
ρ, g/cm³: 6.7

Lattice parameters (Å, degrees): 3.8860 3.8860 5.7847 90.00 90.00 120.00
Space group P3m1 (No. 156)
One atom of each set of equivalent atoms:
Pm: 0.0000 0.0000 0.0000 (multiplicity 1)
Pr: 0.6667 0.3333 0.5089 (multiplicity 1)
F: 0.3333 0.6667 0.7650 (multiplicity 1)

# Ti12Tl3In

An optimized crystal structure of Ti12Tl3In (GGA-PBE, Alexandria).

Calculated values
ΔE_f, eV per atom: -0.012
Crystal system: tetragonal
ρ, g/cm³: 7.4

Lattice parameters (Å, degrees): 4.1741 4.1741 16.6844 90.00 90.00 90.00
Space group P4/mmm (No. 123)
One atom of each set of equivalent atoms:
Ti: 0.0000 0.0000 0.0000 (multiplicity 1)
Ti: 0.0000 0.0000 0.2500 (multiplicity 2)
Ti: 0.0000 0.0000 0.5000 (multiplicity 1)
Ti: 0.0000 0.5000 0.1238 (multiplicity 4)
Ti: 0.0000 0.5000 0.3747 (multiplicity 4)
Tl: 0.5000 0.5000 0.2494 (multiplicity 2)
Tl: 0.5000 0.5000 0.5000 (multiplicity 1)
In: 0.5000 0.5000 0.0000 (multiplicity 1)

# PrHo5P6

An optimized crystal structure of PrHo5P6 (GGA-PBE, Alexandria).

Calculated values
ΔE_f, eV per atom: -1.587
Crystal system: monoclinic
ρ, g/cm³: 6.9

Lattice parameters (Å, degrees): 6.9746 12.0757 6.9721 90.00 109.51 90.00
Space group C2/m (No. 12)
One atom of each set of equivalent atoms:
Pr: 0.0000 0.0000 0.0000 (multiplicity 2)
Ho: 0.0000 0.1653 0.5000 (multiplicity 4)
Ho: 0.0000 0.3329 0.0000 (multiplicity 4)
Ho: 0.0000 0.5000 0.5000 (multiplicity 2)
P: 0.2442 0.5000 0.2538 (multiplicity 4)
P: 0.2450 0.3299 0.7454 (multiplicity 8)

# Te2HPbN

An optimized crystal structure of Te2HPbN (GGA-PBE, Alexandria).

Calculated values
Crystal system: tetragonal
ρ, g/cm³: 4.7
Excess energy over the best structure of this formula in the dataset, eV/atom: 0.475

Lattice parameters (Å, degrees): 6.0826 6.0826 4.5186 90.00 90.00 90.00
Space group P4/mmm (No. 123)
One atom of each set of equivalent atoms:
Te: 0.0000 0.5000 0.0000 (multiplicity 2)
H: 0.0000 0.0000 0.5000 (multiplicity 1)
Pb: 0.5000 0.5000 0.0000 (multiplicity 1)
N: 0.5000 0.5000 0.5000 (multiplicity 1)

# Tb2MnSe4

An optimized crystal structure of Tb2MnSe4 (GGA-PBE, Alexandria).

Calculated values
Raw formation energy, eV per atom: -1.4537
Crystal system: cubic
ρ, g/cm³: 5.8

Lattice parameters (Å, degrees): 11.6440 11.6440 11.6440 90.00 90.00 90.00
Space group Fd-3m (No. 227, origin choice 2)
One atom of each set of equivalent atoms:
Tb: 0.0000 0.0000 0.0000 (multiplicity 16)
Mn: 0.1250 0.1250 0.6250 (multiplicity 8)
Se: 0.0025 0.0025 0.2475 (multiplicity 32)

# Li3PdSe

An optimized crystal structure of Li3PdSe (GGA-PBE, Alexandria).

Calculated values
Raw formation energy, eV per atom: -0.2177
Crystal system: cubic
ρ, g/cm³: 3.5
Excess energy over the best structure of this formula in the dataset, eV/atom: 0.163

Lattice parameters (Å, degrees): 4.5955 4.5955 4.5955 90.00 90.00 90.00
Space group Pm-3m (No. 221)
One atom of each set of equivalent atoms:
Li: 0.0000 0.0000 0.5000 (multiplicity 3)
Pd: 0.0000 0.0000 0.0000 (multiplicity 1)
Se: 0.5000 0.5000 0.5000 (multiplicity 1)

no.,total magnetization (μB per formula unit)
1,0.00
2,0.00
3,0.00
4,4.25
5,5.00
6,0.00